Y2SiMo: optimized geometry, GGA-PBE.

Unit cell a=3.4243 b=3.4243 c=26.8587 alpha=90.00 beta=90.00 gamma=120.00
Space group R-3m (No. 166, hexagonal axes)
One atom of each set of equivalent atoms:
Y: 0.0000 0.0000 0.2491 x6
Si: 0.0000 0.0000 0.5000 x3
Mo: 0.0000 0.0000 0.0000 x3

Calculated values
The energy comes out at -84.6 eV per cell. For the density, the calculation gives 5.5 g cm⁻³. Its raw formation energy is 0.24 eV/atom. The calculation puts the density of states at the Fermi level at 3.5 states/eV/f.u.